Entry 1:
An optimized crystal structure of Sm6CdCo. Source: the Alexandria database, functional PBE.

Computed properties:
Space-group type   No. 12

Cell lengths 7.9236, 10.3551, 6.3267 Å; angles 90.00, 105.77, 90.00 degrees
Positions (direct):
Sm 0.1200 0.1899 0.2789
Sm 0.1200 0.8101 0.2789
Sm 0.2258 0.5000 0.1383
Sm 0.2742 0.0000 0.8617
Sm 0.3800 0.3101 0.7211
Sm 0.3800 0.6899 0.7211
Sm 0.6200 0.3101 0.2789
Sm 0.6200 0.6899 0.2789
Sm 0.7258 0.0000 0.1383
Sm 0.7742 0.5000 0.8617
Sm 0.8800 0.1899 0.7211
Sm 0.8800 0.8101 0.7211
Cd 0.0000 0.5000 0.5000
Cd 0.5000 0.0000 0.5000
Co 0.0000 0.0000 0.0000
Co 0.5000 0.5000 0.0000

***

Entry 2:
An optimized crystal structure of Sm12CdCo6. Source: the Alexandria database, functional PBE.

Computed properties:
Space-group type   No. 204

Cell lengths 8.5523, 8.5523, 8.5523 Å; angles 109.47, 109.47, 109.47 degrees
Positions (direct):
Sm 0.1111 0.8059 0.3052
Sm 0.1941 0.3052 0.4992
Sm 0.1941 0.6948 0.8889
Sm 0.3052 0.1111 0.8059
Sm 0.3052 0.4992 0.1941
Sm 0.4992 0.1941 0.3052
Sm 0.5008 0.8059 0.6948
Sm 0.6948 0.5008 0.8059
Sm 0.6948 0.8889 0.1941
Sm 0.8059 0.3052 0.1111
Sm 0.8059 0.6948 0.5008
Sm 0.8889 0.1941 0.6948
Cd 0.0000 0.0000 0.0000
Co 0.1118 0.6118 0.5000
Co 0.3882 0.5000 0.8882
Co 0.5000 0.1118 0.6118
Co 0.5000 0.8882 0.3882
Co 0.6118 0.5000 0.1118
Co 0.8882 0.3882 0.5000

***

Entry 3:
An optimized crystal structure of Sm3CdCo. Source: the Alexandria database, functional PBE.

Computed properties:
Offset from the most stable computed form   20 meV/atom
Space-group type   No. 11

Cell lengths 7.2184, 4.7926, 8.3162 Å; angles 90.00, 110.56, 90.00 degrees
Positions (direct):
Sm 0.0595 0.2500 0.2628
Sm 0.3031 0.2500 0.9104
Sm 0.3392 0.7500 0.5879
Sm 0.6608 0.2500 0.4121
Sm 0.6969 0.7500 0.0896
Sm 0.9405 0.7500 0.7372
Cd 0.2972 0.7500 0.1752
Cd 0.7028 0.2500 0.8248
Co 0.0711 0.2500 0.5886
Co 0.9289 0.7500 0.4114

***

Entry 4:
An optimized crystal structure of Sm2CdCo. Source: the Alexandria database, functional PBE.

Computed properties:
Offset from the most stable computed form   264 meV/atom
Space-group type   No. 166

Cell lengths 3.8483, 3.8483, 29.3306 Å; angles 90.00, 90.00, 120.00 degrees
Positions (direct):
Sm 0.0000 0.0000 0.1156
Sm 0.0000 0.0000 0.8844
Sm 0.3333 0.6667 0.5510
Sm 0.3333 0.6667 0.7823
Sm 0.6667 0.3333 0.2177
Sm 0.6667 0.3333 0.4490
Cd 0.0000 0.0000 0.0000
Cd 0.3333 0.6667 0.6667
Cd 0.6667 0.3333 0.3333
Co 0.0000 0.0000 0.5000
Co 0.3333 0.6667 0.1667
Co 0.6667 0.3333 0.8333

***

Entry 5:
An optimized crystal structure of Sm8Cd2Co. Source: the Alexandria database, functional PBE.

Computed properties:
Space-group type   No. 12

Cell lengths 9.2403, 9.2403, 6.9700 Å; angles 109.37, 109.37, 34.85 degrees
Positions (direct):
Sm 0.0160 0.0160 0.2810
Sm 0.1995 0.1995 0.7699
Sm 0.3550 0.3550 0.5630
Sm 0.4067 0.4067 0.0907
Sm 0.5933 0.5933 0.9093
Sm 0.6450 0.6450 0.4370
Sm 0.8005 0.8005 0.2301
Sm 0.9840 0.9840 0.7190
Cd 0.1823 0.1823 0.2022
Cd 0.8177 0.8177 0.7978
Co 0.5000 0.5000 0.5000

***

Entry 6:
An optimized crystal structure of Sm6CdCo2. Source: the Alexandria database, functional PBE.

Computed properties:
Offset from the most stable computed form   0 meV/atom
Space-group type   No. 71

Cell lengths 8.5337, 8.5337, 8.5337 Å; angles 112.41, 108.92, 107.13 degrees
Positions (direct):
Sm 0.0305 0.2342 0.7963
Sm 0.1821 0.2848 0.4670
Sm 0.1821 0.7152 0.8973
Sm 0.3232 0.0100 0.6868
Sm 0.3232 0.6364 0.3132
Sm 0.4379 0.2342 0.2037
Sm 0.5621 0.7658 0.7963
Sm 0.6768 0.3636 0.6868
Sm 0.6768 0.9900 0.3132
Sm 0.8179 0.2848 0.1027
Sm 0.8179 0.7152 0.5330
Sm 0.9695 0.7658 0.2037
Cd 0.0000 0.0000 0.0000
Cd 0.5000 0.5000 0.0000
Co 0.1122 0.6122 0.5000
Co 0.3378 0.0000 0.3378
Co 0.6622 0.0000 0.6622
Co 0.8878 0.3878 0.5000

***

Entry 7:
An optimized crystal structure of Sm12CdCo5. Source: the Alexandria database, functional PBE.

Computed properties:
Space-group type   No. 71

Cell lengths 8.4737, 8.4737, 8.4737 Å; angles 110.65, 109.65, 108.13 degrees
Positions (direct):
Sm 0.0096 0.2016 0.8080
Sm 0.1842 0.2964 0.4806
Sm 0.1842 0.7036 0.8878
Sm 0.3156 0.0103 0.6947
Sm 0.3156 0.6210 0.3053
Sm 0.3935 0.2016 0.1920
Sm 0.6065 0.7984 0.8080
Sm 0.6844 0.3790 0.6947
Sm 0.6844 0.9897 0.3053
Sm 0.8158 0.2964 0.1122
Sm 0.8158 0.7036 0.5194
Sm 0.9904 0.7984 0.1920
Cd 0.5000 0.5000 0.0000
Co 0.0000 0.0000 0.0000
Co 0.1126 0.6126 0.5000
Co 0.3801 0.0000 0.3801
Co 0.6199 0.0000 0.6199
Co 0.8874 0.3874 0.5000

***

Entry 8:
An optimized crystal structure of Sm12Cd6Co. Source: the Alexandria database, functional PBE.

Computed properties:
Space-group type   No. 148

Cell lengths 8.3741, 8.3741, 8.3741 Å; angles 94.79, 94.79, 94.79 degrees
Positions (direct):
Sm 0.0379 0.9266 0.7012
Sm 0.0734 0.2988 0.9621
Sm 0.1893 0.4117 0.5221
Sm 0.2988 0.9621 0.0734
Sm 0.4117 0.5221 0.1893
Sm 0.4779 0.8107 0.5883
Sm 0.5221 0.1893 0.4117
Sm 0.5883 0.4779 0.8107
Sm 0.7012 0.0379 0.9266
Sm 0.8107 0.5883 0.4779
Sm 0.9266 0.7012 0.0379
Sm 0.9621 0.0734 0.2988
Cd 0.1546 0.7602 0.3575
Cd 0.2398 0.6425 0.8454
Cd 0.3575 0.1546 0.7602
Cd 0.6425 0.8454 0.2398
Cd 0.7602 0.3575 0.1546
Cd 0.8454 0.2398 0.6425
Co 0.5000 0.5000 0.5000

***

Entry 9:
An optimized crystal structure of Sm5Cd2Co2. Source: the Alexandria database, functional PBE.

Computed properties:
Space-group type   No. 64

Cell lengths 9.0563, 9.0563, 7.6276 Å; angles 90.00, 90.00, 48.00 degrees
Positions (direct):
Sm 0.0000 0.0000 0.0000
Sm 0.0660 0.6982 0.6861
Sm 0.1982 0.5660 0.1861
Sm 0.3018 0.9340 0.6861
Sm 0.4340 0.8018 0.1861
Sm 0.5000 0.5000 0.5000
Sm 0.5660 0.1982 0.8139
Sm 0.6982 0.0660 0.3139
Sm 0.8018 0.4340 0.8139
Sm 0.9340 0.3018 0.3139
Cd 0.2240 0.2240 0.0000
Cd 0.2760 0.2760 0.5000
Cd 0.7240 0.7240 0.5000
Cd 0.7760 0.7760 0.0000
Co 0.1073 0.8927 0.3882
Co 0.3927 0.6073 0.8882
Co 0.6073 0.3927 0.1118
Co 0.8927 0.1073 0.6118

***

Entry 10:
An optimized crystal structure of Sm5CdCo2. Source: the Alexandria database, functional PBE.

Computed properties:
Space-group type   No. 140

Cell lengths 8.7256, 8.7256, 8.7256 Å; angles 126.78, 126.78, 78.60 degrees
Positions (direct):
Sm 0.0000 0.0000 0.0000
Sm 0.0292 0.5292 0.8209
Sm 0.2083 0.0292 0.5000
Sm 0.2917 0.7917 0.8209
Sm 0.4708 0.2917 0.5000
Sm 0.5000 0.5000 0.0000
Sm 0.5292 0.7083 0.5000
Sm 0.7083 0.2083 0.1791
Sm 0.7917 0.9708 0.5000
Sm 0.9708 0.4708 0.1791
Cd 0.2500 0.2500 0.0000
Cd 0.7500 0.7500 0.0000
Co 0.1341 0.3659 0.5000
Co 0.3659 0.8659 0.2318
Co 0.6341 0.1341 0.7682
Co 0.8659 0.6341 0.5000

***

Entry 11:
An optimized crystal structure of Sm2CdCo. Source: the Alexandria database, functional PBE.

Computed properties:
Offset from the most stable computed form   98 meV/atom
Space-group type   No. 225

Cell lengths 7.2769, 7.2769, 7.2769 Å; angles 90.00, 90.00, 90.00 degrees
Positions (direct):
Sm 0.2500 0.2500 0.2500
Sm 0.2500 0.2500 0.7500
Sm 0.2500 0.7500 0.2500
Sm 0.2500 0.7500 0.7500
Sm 0.7500 0.2500 0.2500
Sm 0.7500 0.2500 0.7500
Sm 0.7500 0.7500 0.2500
Sm 0.7500 0.7500 0.7500
Cd 0.0000 0.0000 0.0000
Cd 0.0000 0.5000 0.5000
Cd 0.5000 0.0000 0.5000
Cd 0.5000 0.5000 0.0000
Co 0.0000 0.0000 0.5000
Co 0.0000 0.5000 0.0000
Co 0.5000 0.0000 0.0000
Co 0.5000 0.5000 0.5000

***

Entry 12:
An optimized crystal structure of Sm6Cd3Co. Source: the Alexandria database, functional PBE.

Computed properties:
Space-group type   No. 14

Cell lengths 5.3121, 9.2537, 12.5467 Å; angles 90.00, 115.02, 90.00 degrees
Positions (direct):
Sm 0.0753 0.1537 0.0759
Sm 0.0753 0.3463 0.5759
Sm 0.2709 0.5168 0.2700
Sm 0.2709 0.9832 0.7700
Sm 0.4167 0.1941 0.4169
Sm 0.4167 0.3059 0.9169
Sm 0.5833 0.6941 0.0831
Sm 0.5833 0.8059 0.5831
Sm 0.7291 0.0168 0.2300
Sm 0.7291 0.4832 0.7300
Sm 0.9247 0.6537 0.4241
Sm 0.9247 0.8463 0.9241
Cd 0.0000 0.0000 0.5000
Cd 0.0000 0.5000 0.0000
Cd 0.2730 0.6492 0.7740
Cd 0.2730 0.8508 0.2740
Cd 0.7270 0.1492 0.7260
Cd 0.7270 0.3508 0.2260
Co 0.5000 0.0000 0.0000
Co 0.5000 0.5000 0.5000

***

no.,energy relative to the elements (meV per atom)
1,30
2,-151
3,-136
4,87
5,-87
6,-156
7,-139
8,-87
9,-161
10,-148
11,-79
12,-138